A relaxed PrThSi2O8 crystal, computed with PBE-GGA.

## Properties
M_tot = 0.59 μB/f.u.
N(E_F) = 8.9 states/eV/cell
uncorrected energy = -8.274 eV/atom
uncorrected formation energy = -3.0482 eV/atom

Cell lengths 6.029, 6.029, 6.029 Å; angles 106.41, 106.41, 115.79 degrees
Positions (direct):
Pr 0.000 0.000 0.000
Th 0.250 0.750 0.500
Si 0.500 0.500 0.000
Si 0.750 0.250 0.500
O 0.338 0.160 0.822
O 0.338 0.517 0.178
O 0.410 0.084 0.327
O 0.483 0.662 0.822
O 0.757 0.084 0.673
O 0.840 0.662 0.178
O 0.916 0.243 0.327
O 0.916 0.590 0.673

A relaxed Tl2ReHg crystal, computed with PBE-GGA.

## Properties
energy above the most stable polymorph in this dataset = 461 meV per atom
energy of formation = 1.15 eV/atom
M_tot = 2.78 μB/f.u.
N(E_F) = 3.8 states/eV/cell
uncorrected energy = -3.220 eV/atom

Cell lengths 5.126, 5.126, 5.126 Å; angles 60.00, 60.00, 60.00 degrees
Positions (direct):
Tl 0.000 0.000 0.000
Tl 0.250 0.250 0.250
Re 0.750 0.750 0.750
Hg 0.500 0.500 0.500

A relaxed Ta3FeMo crystal, computed with PBE-GGA.

## Properties
energy above the most stable polymorph in this dataset = 0 meV per atom
energy of formation = 0.90 eV/atom
M_tot = 0.00 μB/f.u.
N(E_F) = 6.9 states/eV/cell
uncorrected energy = -10.067 eV/atom

Cell lengths 4.537, 4.537, 4.537 Å; angles 90.00, 90.00, 90.00 degrees
Positions (direct):
Ta 0.000 0.000 0.500
Ta 0.000 0.500 0.000
Ta 0.500 0.000 0.000
Fe 0.000 0.000 0.000
Mo 0.500 0.500 0.500